(1)
Density functional theory data (PBE) for crystalline Pr2YHo at its relaxed geometry.

Cell lengths 5.8383, 7.3446, 7.3446 Å; angles 119.37, 90.00, 90.00 degrees
Sites, in units of the cell vectors:
1 Ho 0.2500 0.9174 0.0826
2 Ho 0.7500 0.0826 0.9174
3 Y 0.2500 0.4170 0.5830
4 Y 0.7500 0.5830 0.4170
5 Pr 0.7500 0.0840 0.4149
6 Pr 0.2500 0.4149 0.0840
7 Pr 0.7500 0.5851 0.9160
8 Pr 0.2500 0.9160 0.5851

Properties
Space-group type = Cmcm

***

(2)
Density functional theory data (PBE) for crystalline Pr6Y3Ho2 at its relaxed geometry.

Cell lengths 4.8396, 4.8396, 17.2599 Å; angles 98.06, 98.06, 90.00 degrees
Sites, in units of the cell vectors:
1 Pr 0.6188 0.1188 0.2376
2 Pr 0.1188 0.6188 0.2376
3 Pr 0.3812 0.8812 0.7624
4 Pr 0.6963 0.6963 0.3926
5 Pr 0.3037 0.3037 0.6074
6 Pr 0.8812 0.3812 0.7624
7 Y 0.2007 0.2007 0.4015
8 Y 0.7993 0.7993 0.5985
9 Y 0.0000 0.0000 0.0000
10 Ho 0.5448 0.5448 0.0897
11 Ho 0.4552 0.4552 0.9103

Properties
Space-group type = I4/mmm

***

(3)
Density functional theory data (PBE) for crystalline Pr3Y5Ho4 at its relaxed geometry.

Cell lengths 7.1800, 15.6239, 17.9122 Å; angles 160.13, 45.68, 143.32 degrees
Sites, in units of the cell vectors:
1 Ho 0.0823 0.1665 0.3340
2 Ho 0.9177 0.8335 0.6660
3 Ho 0.1649 0.3329 0.1662
4 Ho 0.8351 0.6671 0.8338
5 Y 0.2531 0.4990 0.9989
6 Y 0.7469 0.5010 0.0011
7 Y 0.5000 0.0000 0.5000
8 Y 0.3339 0.6681 0.8331
9 Y 0.6661 0.3319 0.1669
10 Pr 0.0000 0.0000 0.5000
11 Pr 0.5865 0.1694 0.3340
12 Pr 0.4135 0.8306 0.6660

Properties
Space-group type = P-1

***

(4)
Density functional theory data (PBE) for crystalline Pr2Y2Ho5 at its relaxed geometry.

Cell lengths 11.8796, 6.7191, 10.1240 Å; angles 109.38, 125.92, 90.00 degrees
Sites, in units of the cell vectors:
1 Y 0.8786 0.4301 0.7480
2 Y 0.6306 0.1822 0.2520
3 Y 0.1214 0.6822 0.2520
4 Y 0.3694 0.9301 0.7480
5 Pr 0.7413 0.8525 0.5000
6 Pr 0.5000 0.5103 0.0000
7 Pr 0.0000 0.0103 0.0000
8 Pr 0.2587 0.3525 0.5000
9 Ho 0.0028 0.6489 0.5000
10 Ho 0.6237 0.7571 0.7158
11 Ho 0.8109 0.2597 0.1056
12 Ho 0.2053 0.6541 0.8944
13 Ho 0.1891 0.1541 0.8944
14 Ho 0.9972 0.1489 0.5000
15 Ho 0.4078 0.5412 0.2842
16 Ho 0.5922 0.2571 0.7158
17 Ho 0.3763 0.0412 0.2842
18 Ho 0.7947 0.7597 0.1056

Properties
Space-group type = Ima2

***

(5)
Density functional theory data (PBE) for crystalline Pr2YHo at its relaxed geometry.

Cell lengths 5.0585, 5.1708, 5.1708 Å; angles 90.00, 90.00, 90.00 degrees
Sites, in units of the cell vectors:
1 Ho 0.5000 0.5000 0.5000
2 Pr 0.0000 0.0000 0.5000
3 Pr 0.0000 0.5000 0.0000
4 Y 0.5000 0.0000 0.0000

Properties
Space-group type = P4/mmm

***

(6)
Density functional theory data (PBE) for crystalline Pr4Y3Ho4 at its relaxed geometry.

Cell lengths 3.6174, 5.6504, 18.4172 Å; angles 81.17, 84.46, 90.00 degrees
Sites, in units of the cell vectors:
1 Y 0.0000 0.0000 0.0000
2 Y 0.1483 0.6459 0.7080
3 Y 0.8517 0.3540 0.2920
4 Ho 0.2650 0.2651 0.4698
5 Ho 0.0957 0.0922 0.8151
6 Ho 0.9043 0.9078 0.1849
7 Ho 0.7350 0.7349 0.5302
8 Pr 0.5551 0.5519 0.8955
9 Pr 0.4449 0.4480 0.1045
10 Pr 0.3209 0.8226 0.3547
11 Pr 0.6791 0.1773 0.6453

Properties
Space-group type = C2/m

***

(7)
Density functional theory data (PBE) for crystalline Pr6YHo3 at its relaxed geometry.

Cell lengths 5.5649, 10.3628, 12.7747 Å; angles 90.00, 104.70, 90.00 degrees
Sites, in units of the cell vectors:
1 Ho 0.0000 0.0000 0.5000
2 Ho 0.9420 0.3319 0.3661
3 Ho 0.4420 0.1681 0.8661
4 Ho 0.5580 0.8319 0.1339
5 Ho 0.0580 0.6681 0.6339
6 Ho 0.5000 0.5000 0.0000
7 Pr 0.5015 0.1842 0.4941
8 Pr 0.0015 0.3158 0.9941
9 Pr 0.1673 0.9943 0.2701
10 Pr 0.9322 0.6717 0.3545
11 Pr 0.0678 0.3283 0.6455
12 Pr 0.9985 0.6842 0.0059
13 Pr 0.3327 0.4943 0.2299
14 Pr 0.8327 0.0057 0.7299
15 Pr 0.5678 0.1717 0.1455
16 Pr 0.4985 0.8158 0.5059
17 Pr 0.4322 0.8283 0.8545
18 Pr 0.6673 0.5057 0.7701
19 Y 0.0000 0.0000 0.0000
20 Y 0.5000 0.5000 0.5000

Properties
Space-group type = P2_1/c

***

(8)
Density functional theory data (PBE) for crystalline Pr12Y6Ho at its relaxed geometry.

Cell lengths 9.9179, 9.9179, 9.9179 Å; angles 111.01, 111.01, 111.01 degrees
Sites, in units of the cell vectors:
1 Pr 0.2605 0.2605 0.0024
2 Pr 0.8906 0.1094 0.5000
3 Pr 0.1094 0.8906 0.5000
4 Pr 0.0024 0.2605 0.2605
5 Pr 0.7395 0.9976 0.7395
6 Pr 0.7395 0.7395 0.9976
7 Pr 0.5000 0.1094 0.8906
8 Pr 0.9976 0.7395 0.7395
9 Pr 0.5000 0.8906 0.1094
10 Pr 0.1094 0.5000 0.8906
11 Pr 0.2605 0.0024 0.2605
12 Pr 0.8906 0.5000 0.1094
13 Y 0.6478 0.2708 0.6478
14 Y 0.7292 0.3522 0.3522
15 Y 0.3522 0.3522 0.7292
16 Y 0.6478 0.6478 0.2708
17 Y 0.2708 0.6478 0.6478
18 Y 0.3522 0.7292 0.3522
19 Ho 0.0000 0.0000 0.0000

Properties
Space-group type = R-3m

***

(9)
Density functional theory data (PBE) for crystalline Pr6Y4Ho at its relaxed geometry.

Cell lengths 9.9859, 9.9859, 9.9859 Å; angles 56.09, 141.17, 141.17 degrees
Sites, in units of the cell vectors:
1 Y 0.0000 0.6395 0.0091
2 Y 0.3695 0.3605 0.3605
3 Y 0.0000 0.0091 0.6395
4 Y 0.6305 0.9909 0.9909
5 Pr 0.0000 0.8115 0.4555
6 Pr 0.0000 0.4555 0.8115
7 Pr 0.3560 0.5445 0.5445
8 Pr 0.5000 0.0000 0.5000
9 Pr 0.6440 0.1885 0.1885
10 Pr 0.5000 0.5000 0.0000
11 Ho 0.0000 0.0000 0.0000

Properties
Space-group type = I-42m

***

(10)
Density functional theory data (PBE) for crystalline Pr12Y7Ho at its relaxed geometry.

Cell lengths 6.8633, 11.2376, 11.2376 Å; angles 64.03, 78.25, 101.75 degrees
Sites, in units of the cell vectors:
1 Ho 0.0000 0.0000 0.0000
2 Pr 0.7932 0.0661 0.4576
3 Pr 0.0776 0.5800 0.2112
4 Pr 0.7272 0.4763 0.0661
5 Pr 0.7492 0.5424 0.5237
6 Pr 0.2728 0.5237 0.9339
7 Pr 0.2068 0.9339 0.5424
8 Pr 0.7111 0.7888 0.7912
9 Pr 0.2889 0.2112 0.2088
10 Pr 0.5024 0.7912 0.4200
11 Pr 0.4976 0.2088 0.5800
12 Pr 0.2508 0.4576 0.4763
13 Pr 0.9224 0.4200 0.7888
14 Y 0.5000 0.0000 0.0000
15 Y 0.9268 0.1395 0.6994
16 Y 0.6263 0.6994 0.1611
17 Y 0.7874 0.1611 0.1395
18 Y 0.3737 0.3006 0.8389
19 Y 0.0732 0.8605 0.3006
20 Y 0.2126 0.8389 0.8605

Properties
Space-group type = R-3

***

(11)
Density functional theory data (PBE) for crystalline Pr2Y3Ho at its relaxed geometry.

Cell lengths 5.5943, 8.9697, 12.6494 Å; angles 42.29, 77.22, 71.83 degrees
Sites, in units of the cell vectors:
1 Pr 0.4053 0.7791 0.4102
2 Pr 0.5947 0.2209 0.5898
3 Pr 0.8935 0.5472 0.6658
4 Pr 0.1065 0.4528 0.3342
5 Ho 0.4413 0.2704 0.8470
6 Ho 0.5587 0.7296 0.1530
7 Y 0.2508 0.8432 0.6552
8 Y 0.0845 0.9368 0.8941
9 Y 0.9155 0.0632 0.1059
10 Y 0.7212 0.6459 0.9117
11 Y 0.2788 0.3541 0.0883
12 Y 0.7492 0.1568 0.3448

Properties
Space-group type = C2/m

***

(12)
Density functional theory data (PBE) for crystalline PrY4Ho6 at its relaxed geometry.

Cell lengths 9.7421, 9.7421, 9.7421 Å; angles 56.87, 140.65, 140.65 degrees
Sites, in units of the cell vectors:
1 Ho 0.0000 0.4509 0.8089
2 Ho 0.5000 0.0000 0.5000
3 Ho 0.0000 0.8089 0.4509
4 Ho 0.5000 0.5000 0.0000
5 Ho 0.3579 0.5491 0.5491
6 Ho 0.6421 0.1911 0.1911
7 Pr 0.0000 0.0000 0.0000
8 Y 0.3746 0.3622 0.3622
9 Y 0.6254 0.9876 0.9876
10 Y 0.0000 0.6378 0.0124
11 Y 0.0000 0.0124 0.6378

Properties
Space-group type = I-42m

***

| no. | E_form (eV per atom) | excess energy over the best structure of this formula in the dataset (meV per atom) |
| --- | --- | --- |
| 1 | 0.0219 | 12 |
| 2 | 0.2957 | 221 |
| 3 | 0.0203 | 0 |
| 4 | 0.2050 | 0 |
| 5 | 0.0192 | 9 |
| 6 | 0.0359 | 0 |
| 7 | 0.2152 | 75 |
| 8 | 0.3977 | 271 |
| 9 | 0.2704 | 0 |
| 10 | 0.2706 | 61 |
| 11 | 0.0778 | 0 |
| 12 | 0.3154 | 0 |